Computed, not measured: CaRu2Cl after structural relaxation at the GGA-PBE level of DFT.

Calculated values
Crystal system: tetragonal
ΔE_f (raw), meV/atom: -184.2
Magnetic moment, μB per formula unit: 0.0

a b c (Å): 3.256 3.256 7.894
angles (deg): 90.00 90.00 90.00
Space group P4mm (No. 99)
One atom of each set of equivalent atoms:
Ca: 0.000 0.000 0.000
Ru: 0.000 0.000 0.592
Ru: 0.500 0.500 0.716
Cl: 0.500 0.500 0.198

Computed, not measured: CaRuCl2 after structural relaxation at the GGA-PBE level of DFT.

Calculated values
Crystal system: cubic
ΔE_f (raw), meV/atom: -8.7
Magnetic moment, μB per formula unit: 2.1

a b c (Å): 7.007 7.007 7.007
angles (deg): 90.00 90.00 90.00
Space group F-43m (No. 216)
One atom of each set of equivalent atoms:
Ca: 0.000 0.000 0.000
Ru: 0.250 0.250 0.250
Cl: 0.000 0.000 0.500
Cl: 0.250 0.250 0.750

Computed, not measured: CaRu3Cl after structural relaxation at the GGA-PBE level of DFT.

Calculated values
Crystal system: cubic
ΔE_f (raw), meV/atom: 2338.0
Magnetic moment, μB per formula unit: 6.7

a b c (Å): 4.948 4.948 4.948
angles (deg): 90.00 90.00 90.00
Space group Pm-3m (No. 221)
One atom of each set of equivalent atoms:
Ca: 0.000 0.000 0.000
Ru: 0.000 0.000 0.500
Cl: 0.500 0.500 0.500

Computed, not measured: CaRuCl after structural relaxation at the GGA-PBE level of DFT.

Calculated values
Crystal system: cubic
ΔE_f (raw), meV/atom: 229.9
Magnetic moment, μB per formula unit: 1.4

a b c (Å): 6.326 6.326 6.326
angles (deg): 90.00 90.00 90.00
Space group F-43m (No. 216)
One atom of each set of equivalent atoms:
Ca: 0.000 0.000 0.000
Ru: 0.000 0.000 0.500
Cl: 0.250 0.250 0.750

Computed, not measured: CaRu2Cl after structural relaxation at the GGA-PBE level of DFT.

Calculated values
Crystal system: tetragonal
ΔE_f (raw), meV/atom: 409.7
Magnetic moment, μB per formula unit: 0.0

a b c (Å): 4.834 4.834 15.629
angles (deg): 90.00 90.00 90.00
Space group I-42d (No. 122)
One atom of each set of equivalent atoms:
Ca: 0.000 0.000 0.000
Ru: 0.033 0.750 0.625
Cl: 0.000 0.000 0.500

Computed, not measured: CaRuCl2 after structural relaxation at the GGA-PBE level of DFT.

Calculated values
Crystal system: tetragonal
ΔE_f (raw), meV/atom: -510.3
Magnetic moment, μB per formula unit: 0.0

a b c (Å): 4.778 4.778 15.418
angles (deg): 90.00 90.00 90.00
Space group I-42d (No. 122)
One atom of each set of equivalent atoms:
Ca: 0.000 0.000 0.000
Ru: 0.000 0.000 0.500
Cl: 0.197 0.250 0.625

Computed, not measured: CaRuCl after structural relaxation at the GGA-PBE level of DFT.

Calculated values
Crystal system: cubic
ΔE_f (raw), meV/atom: 513.2
Magnetic moment, μB per formula unit: 2.7

a b c (Å): 6.870 6.870 6.870
angles (deg): 90.00 90.00 90.00
Space group F-43m (No. 216)
One atom of each set of equivalent atoms:
Ca: 0.000 0.000 0.000
Ru: 0.250 0.250 0.750
Cl: 0.250 0.250 0.250

Computed, not measured: CaRuCl2 after structural relaxation at the GGA-PBE level of DFT.

Calculated values
Crystal system: orthorhombic
ΔE_f (raw), meV/atom: -259.4
Magnetic moment, μB per formula unit: 2.1

a b c (Å): 3.520 3.531 6.424
angles (deg): 90.00 90.00 90.00
Space group Pmmm (No. 47)
One atom of each set of equivalent atoms:
Ca: 0.000 0.000 0.000
Ru: 0.000 0.000 0.500
Cl: 0.500 0.500 0.244

Computed, not measured: CaRu2Cl after structural relaxation at the GGA-PBE level of DFT.

Calculated values
Crystal system: monoclinic
ΔE_f (raw), meV/atom: -117.7
Magnetic moment, μB per formula unit: 0.0

a b c (Å): 6.959 3.840 7.058
angles (deg): 90.00 103.11 90.00
Space group Cm (No. 8)
One atom of each set of equivalent atoms:
Ca: 0.000 0.000 0.000
Ru: 0.241 0.500 0.387
Ru: 0.394 0.000 0.295
Cl: 0.269 0.000 0.747

Computed, not measured: CaRuCl2 after structural relaxation at the GGA-PBE level of DFT.

Calculated values
Crystal system: monoclinic
ΔE_f (raw), meV/atom: -653.6
Magnetic moment, μB per formula unit: 1.4

a b c (Å): 12.829 3.481 5.032
angles (deg): 90.00 90.81 90.00
Space group C2/m (No. 12)
One atom of each set of equivalent atoms:
Ca: 0.000 0.000 0.000
Ru: 0.000 0.500 0.500
Cl: 0.145 0.500 0.226

Computed, not measured: CaRuCl2 after structural relaxation at the GGA-PBE level of DFT.

Calculated values
Crystal system: orthorhombic
ΔE_f (raw), meV/atom: -747.6
Magnetic moment, μB per formula unit: 0.0

a b c (Å): 3.668 4.653 11.819
angles (deg): 90.00 90.00 90.00
Space group Immm (No. 71)
One atom of each set of equivalent atoms:
Ca: 0.000 0.000 0.000
Ru: 0.000 0.000 0.500
Cl: 0.000 0.500 0.136

Computed, not measured: CaRuCl2 after structural relaxation at the GGA-PBE level of DFT.

Calculated values
Crystal system: orthorhombic
ΔE_f (raw), meV/atom: -577.2
Magnetic moment, μB per formula unit: 0.0

a b c (Å): 6.284 6.884 3.850
angles (deg): 90.00 90.00 90.00
Space group Cmmm (No. 65)
One atom of each set of equivalent atoms:
Ca: 0.000 0.000 0.000
Ru: 0.000 0.500 0.000
Cl: 0.000 0.288 0.500

Repeat the fourth record exactly.
Computed, not measured: CaRuCl after structural relaxation at the GGA-PBE level of DFT.

Calculated values
Crystal system: cubic
ΔE_f (raw), meV/atom: 229.9
Magnetic moment, μB per formula unit: 1.4

a b c (Å): 6.326 6.326 6.326
angles (deg): 90.00 90.00 90.00
Space group F-43m (No. 216)
One atom of each set of equivalent atoms:
Ca: 0.000 0.000 0.000
Ru: 0.000 0.000 0.500
Cl: 0.250 0.250 0.750